Record 1
The following is a DFT calculation (PBE) of a geometry-optimized MnFe2H structure.

```
MnFe2H
1.0
2.476 0.000 0.000
0.000 2.476 0.000
0.000 0.000 5.944
Fe Mn H
2 1 1
Direct
0.000 0.000 0.199 Fe
0.000 0.000 0.801 Fe
0.500 0.500 0.500 Mn
0.500 0.500 0.000 H
```

Summary:
The total energy comes out at -7.12 eV per atom. The total moment is 2.07 μB per formula unit. The energy above the most stable polymorph in this dataset is 59.9 kJ/mol of formula units. Its symmetry is P4/mmm (123).

---

Record 2
The following is a DFT calculation (PBE) of a geometry-optimized PrCu4Pd3O12 structure.

```
PrCu4Pd3O12
1.0
6.506 0.000 0.000
-2.169 6.134 0.000
-2.169 -3.067 5.312
O Cu Pd Pr
12 4 3 1
Direct
0.698 0.179 0.876 O
0.302 0.179 0.481 O
0.876 0.698 0.179 O
0.821 0.124 0.302 O
0.179 0.481 0.302 O
0.821 0.519 0.698 O
0.179 0.876 0.698 O
0.481 0.302 0.179 O
0.698 0.821 0.519 O
0.519 0.698 0.821 O
0.302 0.821 0.124 O
0.124 0.302 0.821 O
0.500 0.000 0.000 Cu
0.500 0.500 0.500 Cu
0.000 0.000 0.500 Cu
0.000 0.500 0.000 Cu
0.500 0.000 0.500 Pd
0.000 0.500 0.500 Pd
0.500 0.500 0.000 Pd
0.000 0.000 0.000 Pr
```

Summary:
The total energy comes out at -5.56 eV per atom. The total moment is 0.60 μB per formula unit. Its symmetry is Im-3 (204).

---

Record 3
The following is a DFT calculation (PBE) of a geometry-optimized CeSbPd structure.

```
CeSbPd
1.0
4.048 0.000 0.000
0.000 4.048 0.000
-2.024 -2.024 4.507
Ce Pd Sb
1 1 1
Direct
0.614 0.614 0.229 Ce
0.962 0.962 0.924 Pd
0.274 0.274 0.548 Sb
```

Summary:
The total energy comes out at -5.69 eV per atom. The total moment is 0.73 μB per formula unit. Its symmetry is I4mm (107).